This record from Alexandria via LeMat-Bulk describes a relaxed PaInN2 crystal. The functional is PBE-GGA.

Cell lengths 3.2585, 3.2585, 7.5626 Å; angles 90.00, 90.00, 90.00 degrees
Space group P4/mmm (No. 123)
Unique sites:
1 Pa 0.0000 0.0000 0.0000 (multiplicity 1)
2 In 0.0000 0.0000 0.5000 (multiplicity 1)
3 N 0.5000 0.5000 0.0974 (multiplicity 2)

## Properties
Formation energy from raw total energies in eV/atom: -0.419
E in eV per atom: -7.64
Offset from the most stable computed form in eV per atom: 0.469